Record 1
Ca2YSi | GGA-PBE | optimized geometry

Unit cell a=3.552 b=3.552 c=9.689 alpha=90.00 beta=90.00 gamma=90.00
Element x y z (fractional)
1 Ca 0.000 0.000 0.000
2 Ca 0.500 0.500 0.331
3 Y 0.500 0.500 0.692
4 Si 0.000 0.000 0.522

Raw total energy: -4.179 eV/atom
Volume: 122.3 Å³/f.u.
Symmetry: P4mm, No. 99
Uncorrected formation energy: -207 meV per atom

---

Record 2
CaY2Si | GGA-PBE | optimized geometry

Unit cell a=3.477 b=3.477 c=9.687 alpha=90.00 beta=90.00 gamma=90.12
Element x y z (fractional)
1 Ca 0.000 0.000 0.000
2 Y 0.500 0.500 0.320
3 Y 0.500 0.500 0.680
4 Si 0.000 0.000 0.500

Raw total energy: -5.331 eV/atom
Volume: 117.1 Å³/f.u.
Symmetry: Cmmm, No. 65
Uncorrected formation energy: -243 meV per atom

---

Record 3
CaY2Si | GGA-PBE | optimized geometry

Unit cell a=3.974 b=4.205 c=6.831 alpha=90.00 beta=97.95 gamma=90.00
Element x y z (fractional)
1 Ca 0.000 0.000 0.000
2 Y 0.411 0.500 0.711
3 Y 0.589 0.500 0.289
4 Si 0.000 0.000 0.500

Raw total energy: -5.256 eV/atom
Volume: 113.0 Å³/f.u.
Symmetry: P2/m, No. 10
Uncorrected formation energy: -168 meV per atom